Entry 1:
{
  "formula": "Sm3ScTe6",
  "functional": "PBE-GGA",
  "state": "optimized geometry",
  "e_form_raw_ev_per_fu": -13.5,
  "crystal_system": "monoclinic",
  "space_group": "P2_1/c, No. 14",
  "lattice_angstrom": [[7.3284, 0.0000, -0.1418], [0.0000, 8.1213, 0.0000], [-0.1483, 0.0000, 11.0458]],
  "species": ["Sc", "Te", "Te", "Sm", "Sm", "Te", "Te", "Te", "Te", "Te", "Te", "Sm", "Sm", "Sm", "Sc", "Te", "Sm", "Te", "Te", "Te"],
  "frac_coords": [[0.5000, 0.5000, 0.5000], [0.8460, 0.6828, 0.9260], [0.1600, 0.0448, 0.7612], [0.5000, 0.5000, 0.0000], [0.0513, 0.6214, 0.2427], [0.1705, 0.3312, 0.4229], [0.3295, 0.8312, 0.0771], [0.6705, 0.1688, 0.9229], [0.6540, 0.1828, 0.5740], [0.3400, 0.5448, 0.7388], [0.6600, 0.4552, 0.2612], [0.4487, 0.1214, 0.2573], [0.9487, 0.3786, 0.7573], [0.5513, 0.8786, 0.7427], [0.0000, 0.0000, 0.0000], [0.8400, 0.9552, 0.2388], [0.0000, 0.0000, 0.5000], [0.8295, 0.6688, 0.5771], [0.3460, 0.8172, 0.4260], [0.1540, 0.3172, 0.0740]]
}



Entry 2:
{
  "formula": "LiAlAg2W",
  "functional": "PBE-GGA",
  "state": "optimized geometry",
  "dos_at_fermi_per_ev_cell": 5.638,
  "crystal_system": "tetragonal",
  "delta_e_f_ev_per_atom": 1.16,
  "space_group": "P4/mmm, No. 123",
  "lattice_angstrom": [[-4.6287, 1.9129, -1.1036], [-1.9416, -4.5706, 0.2212], [-0.9296, 0.6370, 5.0032]],
  "species": ["W", "Al", "Ag", "Li", "Ag"],
  "frac_coords": [[0.0000, 0.0000, 0.0000], [0.0000, 0.5000, 0.0000], [0.5000, 0.0000, 0.0000], [0.5000, 0.5000, 0.5000], [0.0000, 0.0000, 0.5000]]
}